Run w
FeSbCl2: optimized geometry, PBE.

```
data_FeSbCl2
_chemical_formula_sum 'Fe1 Sb1 Cl2'
_cell_length_a 5.341
_cell_length_b 5.341
_cell_length_c 3.185
_cell_angle_alpha 90.00
_cell_angle_beta 90.00
_cell_angle_gamma 108.91
_symmetry_space_group_name_H-M 'P 1'
_symmetry_Int_Tables_number 1
loop_
_symmetry_equiv_pos_as_xyz
'x,y,z'
loop_
_atom_site_label
_atom_site_type_symbol
_atom_site_fract_x
_atom_site_fract_y
_atom_site_fract_z
Sb1 Sb 0.000 0.500 0.500
Fe1 Fe 0.500 0.000 0.500
Cl1 Cl 0.000 0.000 0.000
Cl2 Cl 0.500 0.500 0.000
```

Symmetry ... Cmmm (65)
N(E_F) ... 3.530 states/eV per cell

***

Run x
FeSbCl2: optimized geometry, PBE.

```
data_FeSbCl2
_chemical_formula_sum 'Fe1 Sb1 Cl2'
_cell_length_a 6.593
_cell_length_b 6.593
_cell_length_c 5.198
_cell_angle_alpha 76.80
_cell_angle_beta 76.80
_cell_angle_gamma 28.82
_symmetry_space_group_name_H-M 'P 1'
_symmetry_Int_Tables_number 1
loop_
_symmetry_equiv_pos_as_xyz
'x,y,z'
loop_
_atom_site_label
_atom_site_type_symbol
_atom_site_fract_x
_atom_site_fract_y
_atom_site_fract_z
Sb1 Sb 0.750 0.750 0.750
Fe1 Fe 0.250 0.250 0.250
Cl1 Cl 0.891 0.891 0.064
Cl2 Cl 0.609 0.609 0.436
```

Symmetry ... C2/m (12)
N(E_F) ... 3.367 states/eV per cell

***

Most stable one: run x, least stable one: run w.

***

Run w
FeSbCl2: optimized geometry, PBE.

```
data_FeSbCl2
_chemical_formula_sum 'Fe1 Sb1 Cl2'
_cell_length_a 4.362
_cell_length_b 4.428
_cell_length_c 4.428
_cell_angle_alpha 90.00
_cell_angle_beta 90.00
_cell_angle_gamma 90.00
_symmetry_space_group_name_H-M 'P 1'
_symmetry_Int_Tables_number 1
loop_
_symmetry_equiv_pos_as_xyz
'x,y,z'
loop_
_atom_site_label
_atom_site_type_symbol
_atom_site_fract_x
_atom_site_fract_y
_atom_site_fract_z
Sb1 Sb 0.500 0.000 0.500
Fe1 Fe 0.500 0.500 0.000
Cl1 Cl 0.000 0.000 0.000
Cl2 Cl 0.000 0.500 0.500
```

Symmetry ... P4/mmm (123)
N(E_F) ... 3.373 states/eV per cell

***

Run x
FeSbCl2: optimized geometry, PBE.

```
data_FeSbCl2
_chemical_formula_sum 'Fe1 Sb1 Cl2'
_cell_length_a 3.262
_cell_length_b 5.630
_cell_length_c 6.998
_cell_angle_alpha 51.36
_cell_angle_beta 90.00
_cell_angle_gamma 90.00
_symmetry_space_group_name_H-M 'P 1'
_symmetry_Int_Tables_number 1
loop_
_symmetry_equiv_pos_as_xyz
'x,y,z'
loop_
_atom_site_label
_atom_site_type_symbol
_atom_site_fract_x
_atom_site_fract_y
_atom_site_fract_z
Sb1 Sb 0.500 0.610 0.690
Fe1 Fe 0.000 0.573 0.406
Cl1 Cl 0.000 0.024 0.027
Cl2 Cl 0.500 0.292 0.378
```

Symmetry ... Pm (6)
N(E_F) ... 2.636 states/eV per cell

***

Most stable one: run x, least stable one: run w.

***

Run w
FeSbCl: optimized geometry, PBE.

```
data_FeSbCl
_chemical_formula_sum 'Fe1 Sb1 Cl1'
_cell_length_a 7.552
_cell_length_b 7.552
_cell_length_c 7.552
_cell_angle_alpha 156.49
_cell_angle_beta 156.49
_cell_angle_gamma 33.48
_symmetry_space_group_name_H-M 'P 1'
_symmetry_Int_Tables_number 1
loop_
_symmetry_equiv_pos_as_xyz
'x,y,z'
loop_
_atom_site_label
_atom_site_type_symbol
_atom_site_fract_x
_atom_site_fract_y
_atom_site_fract_z
Sb1 Sb 0.291 0.291 0.000
Fe1 Fe 0.654 0.654 0.000
Cl1 Cl 0.055 0.055 0.000
```

Symmetry ... I4mm (107)
N(E_F) ... 1.874 states/eV per cell

***

Run x
FeSbCl: optimized geometry, PBE.

```
data_FeSbCl
_chemical_formula_sum 'Fe1 Sb1 Cl1'
_cell_length_a 3.354
_cell_length_b 3.354
_cell_length_c 7.363
_cell_angle_alpha 90.00
_cell_angle_beta 90.00
_cell_angle_gamma 120.00
_symmetry_space_group_name_H-M 'P 1'
_symmetry_Int_Tables_number 1
loop_
_symmetry_equiv_pos_as_xyz
'x,y,z'
loop_
_atom_site_label
_atom_site_type_symbol
_atom_site_fract_x
_atom_site_fract_y
_atom_site_fract_z
Sb1 Sb 0.667 0.333 0.565
Fe1 Fe 0.333 0.667 0.311
Cl1 Cl 0.000 0.000 0.124
```

Symmetry ... P3m1 (156)
N(E_F) ... 2.034 states/eV per cell

***

Run y
FeSbCl: optimized geometry, PBE.

```
data_FeSbCl
_chemical_formula_sum 'Fe1 Sb1 Cl1'
_cell_length_a 8.240
_cell_length_b 7.842
_cell_length_c 3.395
_cell_angle_alpha 84.47
_cell_angle_beta 71.32
_cell_angle_gamma 24.21
_symmetry_space_group_name_H-M 'P 1'
_symmetry_Int_Tables_number 1
loop_
_symmetry_equiv_pos_as_xyz
'x,y,z'
loop_
_atom_site_label
_atom_site_type_symbol
_atom_site_fract_x
_atom_site_fract_y
_atom_site_fract_z
Sb1 Sb 0.295 0.295 0.705
Fe1 Fe 0.656 0.656 0.344
Cl1 Cl 0.049 0.049 0.951
```

Symmetry ... Fmm2 (42)
N(E_F) ... 3.254 states/eV per cell

***

Most stable one: run x, least stable one: run w.

***

Run w
FeSbCl: optimized geometry, PBE.

```
data_FeSbCl
_chemical_formula_sum 'Fe1 Sb1 Cl1'
_cell_length_a 4.475
_cell_length_b 4.475
_cell_length_c 4.475
_cell_angle_alpha 60.00
_cell_angle_beta 60.00
_cell_angle_gamma 60.00
_symmetry_space_group_name_H-M 'P 1'
_symmetry_Int_Tables_number 1
loop_
_symmetry_equiv_pos_as_xyz
'x,y,z'
loop_
_atom_site_label
_atom_site_type_symbol
_atom_site_fract_x
_atom_site_fract_y
_atom_site_fract_z
Sb1 Sb 0.000 0.000 0.000
Fe1 Fe 0.750 0.750 0.750
Cl1 Cl 0.500 0.500 0.500
```

Symmetry ... F-43m (216)
N(E_F) ... 7.184 states/eV per cell

***

Run x
FeSbCl: optimized geometry, PBE.

```
data_FeSbCl
_chemical_formula_sum 'Fe1 Sb1 Cl1'
_cell_length_a 4.600
_cell_length_b 4.600
_cell_length_c 3.143
_cell_angle_alpha 90.00
_cell_angle_beta 90.00
_cell_angle_gamma 120.00
_symmetry_space_group_name_H-M 'P 1'
_symmetry_Int_Tables_number 1
loop_
_symmetry_equiv_pos_as_xyz
'x,y,z'
loop_
_atom_site_label
_atom_site_type_symbol
_atom_site_fract_x
_atom_site_fract_y
_atom_site_fract_z
Sb1 Sb 0.333 0.667 0.665
Fe1 Fe 0.667 0.333 0.169
Cl1 Cl 0.000 0.000 0.166
```

Symmetry ... P3m1 (156)
N(E_F) ... 3.761 states/eV per cell

***

Most stable one: run x, least stable one: run w.

***

Run w
FeSb2TeCl: optimized geometry, PBE.

```
data_FeSb2TeCl
_chemical_formula_sum 'Fe1 Sb2 Te1 Cl1'
_cell_length_a 5.016
_cell_length_b 5.016
_cell_length_c 4.967
_cell_angle_alpha 90.00
_cell_angle_beta 90.00
_cell_angle_gamma 90.00
_symmetry_space_group_name_H-M 'P 1'
_symmetry_Int_Tables_number 1
loop_
_symmetry_equiv_pos_as_xyz
'x,y,z'
loop_
_atom_site_label
_atom_site_type_symbol
_atom_site_fract_x
_atom_site_fract_y
_atom_site_fract_z
Sb1 Sb 0.000 0.500 0.000
Sb2 Sb 0.500 0.000 0.000
Te1 Te 0.000 0.000 0.500
Fe1 Fe 0.000 0.000 0.000
Cl1 Cl 0.500 0.500 0.500
```

Symmetry ... P4/mmm (123)
N(E_F) ... 7.797 states/eV per cell

***

Run x
FeSb2TeCl: optimized geometry, PBE.

```
data_FeSb2TeCl
_chemical_formula_sum 'Fe1 Sb2 Te1 Cl1'
_cell_length_a 5.212
_cell_length_b 5.212
_cell_length_c 5.514
_cell_angle_alpha 90.00
_cell_angle_beta 90.00
_cell_angle_gamma 90.00
_symmetry_space_group_name_H-M 'P 1'
_symmetry_Int_Tables_number 1
loop_
_symmetry_equiv_pos_as_xyz
'x,y,z'
loop_
_atom_site_label
_atom_site_type_symbol
_atom_site_fract_x
_atom_site_fract_y
_atom_site_fract_z
Sb1 Sb 0.000 0.500 0.000
Sb2 Sb 0.500 0.000 0.000
Te1 Te 0.000 0.000 0.500
Fe1 Fe 0.500 0.500 0.500
Cl1 Cl 0.000 0.000 0.000
```

Symmetry ... P4/mmm (123)
N(E_F) ... 9.342 states/eV per cell

***

Most stable one: run w, least stable one: run x.

***

Run w
FeSbTe2Cl: optimized geometry, PBE.

```
data_FeSbTe2Cl
_chemical_formula_sum 'Fe1 Sb1 Te2 Cl1'
_cell_length_a 4.977
_cell_length_b 4.977
_cell_length_c 5.140
_cell_angle_alpha 90.00
_cell_angle_beta 90.00
_cell_angle_gamma 90.00
_symmetry_space_group_name_H-M 'P 1'
_symmetry_Int_Tables_number 1
loop_
_symmetry_equiv_pos_as_xyz
'x,y,z'
loop_
_atom_site_label
_atom_site_type_symbol
_atom_site_fract_x
_atom_site_fract_y
_atom_site_fract_z
Sb1 Sb 0.000 0.000 0.500
Te1 Te 0.000 0.500 0.000
Te2 Te 0.500 0.000 0.000
Fe1 Fe 0.000 0.000 0.000
Cl1 Cl 0.500 0.500 0.500
```

Symmetry ... P4/mmm (123)
N(E_F) ... 4.558 states/eV per cell

***

Run x
FeSbTe2Cl: optimized geometry, PBE.

```
data_FeSbTe2Cl
_chemical_formula_sum 'Fe1 Sb1 Te2 Cl1'
_cell_length_a 5.510
_cell_length_b 5.510
_cell_length_c 5.092
_cell_angle_alpha 90.00
_cell_angle_beta 90.00
_cell_angle_gamma 90.00
_symmetry_space_group_name_H-M 'P 1'
_symmetry_Int_Tables_number 1
loop_
_symmetry_equiv_pos_as_xyz
'x,y,z'
loop_
_atom_site_label
_atom_site_type_symbol
_atom_site_fract_x
_atom_site_fract_y
_atom_site_fract_z
Sb1 Sb 0.000 0.000 0.500
Te1 Te 0.000 0.500 0.000
Te2 Te 0.500 0.000 0.000
Fe1 Fe 0.500 0.500 0.500
Cl1 Cl 0.000 0.000 0.000
```

Symmetry ... P4/mmm (123)
N(E_F) ... 7.790 states/eV per cell

***

Most stable one: run w, least stable one: run x.